1.
{"formula": "FeAuCl2", "functional": "PBE-GGA", "state": "optimized geometry", "cell": [[-1.106, 1.809, -2.291], [-2.402, -1.956, -0.385], [-4.391, 4.305, 5.519]], "species": ["Au", "Fe", "Cl", "Cl"], "frac_coords": [[0.500, 0.500, 0.720], [0.000, 0.000, 0.510], [0.000, 0.000, 0.928], [0.500, 0.500, 0.342]], "total_magnetization_mub_per_atom": 0.880, "spacegroup": "P4mm", "polymorph_energy_ev_per_fu": 0.86, "total_energy_ev_per_fu": -15.47}

---

2.
{"formula": "GdDySnRh", "functional": "PBE-GGA", "state": "optimized geometry", "cell": [[-4.520, 1.212, -2.095], [-4.142, 0.538, 2.974], [-2.017, 4.650, 0.768]], "species": ["Gd", "Rh", "Sn", "Dy"], "frac_coords": [[0.500, 0.500, 0.500], [0.750, 0.750, 0.750], [0.250, 0.250, 0.250], [0.000, 0.000, 0.000]], "total_magnetization_mub_per_atom": 1.766, "spacegroup": "F-43m", "formation_energy_mev_per_atom": -643, "total_energy_ev_per_fu": -32.61}

---

3.
{"formula": "MnCr2Pt", "functional": "PBE-GGA", "state": "optimized geometry", "cell": [[4.293, 0.000, 0.000], [2.147, 3.718, 0.000], [2.147, 1.239, 3.506]], "species": ["Cr", "Cr", "Mn", "Pt"], "frac_coords": [[0.000, 0.000, 0.000], [0.250, 0.250, 0.250], [0.500, 0.500, 0.500], [0.750, 0.750, 0.750]], "total_magnetization_mub_per_atom": 1.207, "spacegroup": "F-43m", "formation_energy_mev_per_atom": -58, "total_energy_ev_per_fu": -34.69}

---

4.
{"formula": "La3Pr4Tl", "functional": "PBE-GGA", "state": "optimized geometry", "cell": [[-1.319, 1.996, 5.934], [6.398, -2.705, 2.332], [5.187, 10.280, -2.306]], "species": ["La", "La", "La", "La", "La", "La", "Pr", "Pr", "Pr", "Pr", "Pr", "Pr", "Pr", "Pr", "Tl", "Tl"], "frac_coords": [[0.491, 0.877, 0.000], [0.155, 0.888, 0.242], [0.655, 0.112, 0.258], [0.991, 0.123, 0.500], [0.655, 0.112, 0.742], [0.155, 0.888, 0.758], [0.955, 0.629, 0.000], [0.502, 0.370, 0.000], [0.141, 0.367, 0.231], [0.641, 0.633, 0.269], [0.002, 0.630, 0.500], [0.455, 0.371, 0.500], [0.641, 0.633, 0.731], [0.141, 0.367, 0.769], [0.976, 0.123, 0.000], [0.476, 0.877, 0.500]], "total_magnetization_mub_per_atom": 0.000, "spacegroup": "Pmn2_1", "formation_energy_mev_per_atom": -87, "polymorph_energy_ev_per_fu": 0.00, "total_energy_ev_per_fu": -36.96}

---

5.
{"formula": "Cd2InCo2", "functional": "PBE-GGA", "state": "optimized geometry", "cell": [[-2.897, 1.300, 2.281], [0.160, -3.304, 2.085], [2.695, 1.538, 5.897]], "species": ["Cd", "Cd", "Co", "Co", "In"], "frac_coords": [[0.750, 0.250, 0.500], [0.250, 0.750, 0.500], [0.411, 0.411, 0.179], [0.589, 0.589, 0.821], [0.000, 0.000, 0.000]], "total_magnetization_mub_per_atom": 0.461, "spacegroup": "I4/mmm", "formation_energy_mev_per_atom": 456, "polymorph_energy_ev_per_fu": 1.25, "total_energy_ev_per_fu": -16.50}

---

6.
{"formula": "Cs2TaTlF", "functional": "PBE-GGA", "state": "optimized geometry", "cell": [[7.330, 0.000, 0.000], [0.000, 5.381, 0.000], [0.000, 0.000, 7.330]], "species": ["Cs", "Cs", "Tl", "F", "Ta"], "frac_coords": [[0.000, 0.000, 0.500], [0.500, 0.000, 0.000], [0.000, 0.000, 0.000], [0.500, 0.500, 0.500], [0.000, 0.500, 0.000]], "total_magnetization_mub_per_atom": 0.427, "spacegroup": "P4/mmm", "total_energy_ev_per_fu": -15.54}

---

7.
{"formula": "NbVPt2", "functional": "PBE-GGA", "state": "optimized geometry", "cell": [[-0.903, -4.360, 0.820], [-4.168, -1.253, 1.247], [-2.608, -2.348, -2.860]], "species": ["Nb", "Pt", "Pt", "V"], "frac_coords": [[0.500, 0.500, 0.500], [0.250, 0.250, 0.250], [0.750, 0.750, 0.750], [0.000, 0.000, 0.000]], "total_magnetization_mub_per_atom": 0.711, "spacegroup": "Fm-3m", "formation_energy_mev_per_atom": -278, "polymorph_energy_ev_per_fu": 1.27, "total_energy_ev_per_fu": -32.38}

---

8.
{"formula": "Mg3SnSb", "functional": "PBE-GGA", "state": "optimized geometry", "cell": [[5.307, 0.000, 0.000], [0.000, 5.307, 0.000], [0.000, 0.000, 5.307]], "species": ["Sb", "Mg", "Mg", "Mg", "Sn"], "frac_coords": [[0.500, 0.500, 0.500], [0.000, 0.500, 0.000], [0.000, 0.000, 0.500], [0.500, 0.000, 0.000], [0.000, 0.000, 0.000]], "total_magnetization_mub_per_atom": 0.000, "spacegroup": "Pm-3m", "polymorph_energy_ev_per_fu": 1.96, "total_energy_ev_per_fu": -11.78}

---

9.
{"formula": "AlTe2N", "functional": "PBE-GGA", "state": "optimized geometry", "cell": [[-6.232, 2.041, 3.320], [-5.009, -1.583, 5.140], [-3.203, 2.075, 6.282]], "species": ["Te", "Te", "Al", "N"], "frac_coords": [[0.906, 0.906, 0.906], [0.094, 0.094, 0.094], [0.500, 0.500, 0.500], [0.000, 0.000, 0.000]], "total_magnetization_mub_per_atom": 0.000, "spacegroup": "R-3m", "polymorph_energy_ev_per_fu": 0.02, "total_energy_ev_per_fu": -15.74}

---

10.
{"formula": "TbErPb2", "functional": "PBE-GGA", "state": "optimized geometry", "cell": [[-2.587, 3.657, 0.342], [-0.339, -0.649, 4.385], [6.036, 1.451, 0.681]], "species": ["Tb", "Er", "Pb", "Pb"], "frac_coords": [[0.455, 0.500, 0.446], [0.711, 0.000, 0.963], [0.183, 0.500, 0.908], [0.982, 0.000, 0.501]], "total_magnetization_mub_per_atom": 0.000, "spacegroup": "Pm", "formation_energy_mev_per_atom": -464, "total_energy_ev_per_fu": -18.47}

---

11.
{"formula": "Li3SnO", "functional": "PBE-GGA", "state": "optimized geometry", "cell": [[-2.101, -2.518, 2.431], [-0.096, -2.793, -2.976], [3.499, -1.589, 1.378]], "species": ["Sn", "O", "Li", "Li", "Li"], "frac_coords": [[0.500, 0.500, 0.500], [0.000, 0.000, 0.000], [0.000, 0.500, 0.000], [0.000, 0.000, 0.500], [0.500, 0.000, 0.000]], "total_magnetization_mub_per_atom": 0.000, "spacegroup": "Pm-3m", "polymorph_energy_ev_per_fu": 0.44, "total_energy_ev_per_fu": -19.33}

---

12.
{"formula": "CeZrAs2", "functional": "PBE-GGA", "state": "optimized geometry", "cell": [[4.024, -0.001, -0.003], [-2.011, 3.485, 0.003], [-2.007, -1.164, 6.592]], "species": ["Ce", "Zr", "As", "As"], "frac_coords": [[0.000, 0.500, 0.500], [0.000, 0.000, 0.000], [0.513, 0.256, 0.769], [0.487, 0.744, 0.231]], "total_magnetization_mub_per_atom": 0.078, "spacegroup": "R-3m", "formation_energy_mev_per_atom": -1303, "polymorph_energy_ev_per_fu": 0.00, "total_energy_ev_per_fu": -28.99}

---

Which formula does entry 8 have? Mg3SnSb